VASP calculation (PBE-GGA) on a relaxed Sm4Al12Rh crystal.

Lattice parameters (Å, degrees): 7.563 7.563 7.563 109.47 109.47 109.47
Fractional positions:
Sm: 0.000 0.000 0.500
Sm: 0.500 0.000 0.000
Sm: 0.500 0.500 0.500
Sm: 0.000 0.500 0.000
Al: 0.000 0.287 0.287
Al: 0.000 0.713 0.713
Al: 0.713 0.713 0.000
Al: 0.287 0.287 0.000
Al: 0.287 0.000 0.287
Al: 0.713 0.000 0.713
Al: 0.500 0.250 0.750
Al: 0.500 0.750 0.250
Al: 0.750 0.250 0.500
Al: 0.250 0.750 0.500
Al: 0.750 0.500 0.250
Al: 0.250 0.500 0.750
Rh: 0.000 0.000 0.000

The total energy is -80.46 eV/cell. As for the formation enthalpy at 0 K: -548 meV/atom. The space group is Im-3m (229).